# 1
# PBE-GGA TcAuSeN2, relaxed
data_TcAuSeN2
_chemical_formula_sum 'Tc1 Au1 Se1 N2'
_symmetry_space_group_name_H-M 'P 4/m m m'
_symmetry_Int_Tables_number 123
_symmetry_space_group_name_Hall '-P 4 2'
_cell_length_a 3.806
_cell_length_b 3.806
_cell_length_c 5.607
_cell_angle_alpha 90.00
_cell_angle_beta 90.00
_cell_angle_gamma 90.00
loop_
_atom_site_label
_atom_site_type_symbol
_atom_site_fract_x
_atom_site_fract_y
_atom_site_fract_z
Tc1 Tc 0.000 0.000 0.000
Au1 Au 0.500 0.500 0.500
Se1 Se 0.000 0.000 0.500
N1 N 0.000 0.500 0.000
# ΔE to the lowest computed polymorph: 0 meV/atom
# DOS at the Fermi energy: 2.85 states/eV per cell
# V: 16.25 A^3/atom
# Energy relative to the elements, uncorrected: 0.6063 eV per atom

# 2
# PBE-GGA AsP2Pb, relaxed
data_AsP2Pb
_chemical_formula_sum 'As1 P2 Pb1'
_symmetry_space_group_name_H-M 'P m m 2'
_symmetry_Int_Tables_number 25
_cell_length_a 3.822
_cell_length_b 5.349
_cell_length_c 4.536
_cell_angle_alpha 90.00
_cell_angle_beta 90.00
_cell_angle_gamma 90.00
loop_
_symmetry_equiv_pos_as_xyz
'x,y,z'
'-x,-y,z'
'-x,y,z'
'x,-y,z'
loop_
_atom_site_label
_atom_site_type_symbol
_atom_site_fract_x
_atom_site_fract_y
_atom_site_fract_z
As1 As 0.000 0.000 0.000
P1 P 0.000 0.500 0.066
P2 P 0.500 0.000 0.661
Pb1 Pb 0.500 0.500 0.486
# ΔE to the lowest computed polymorph: 0 meV/atom
# DOS at the Fermi energy: 0.65 states/eV per cell
# V: 23.19 A^3/atom

Record order is preserved below.
Magnetization: 0.00; 0.00 μB per formula unit
Record order is preserved below.
VASP energy: -6.149; -4.594 eV per atom